DFT (GGA+U) results for crystalline UMn2CrO8 at its relaxed geometry.

a = 4.6457 Å, b = 4.6457 Å, c = 6.3597 Å
α = 90.00°, β = 90.00°, γ = 90.80°
Last column: nearest neighbours and their distance in Å.
Positions (direct):
U: 0.0000 0.0000 0.0000  6 O 2.06-2.10
Mn: 0.5000 0.5000 0.2664  6 O 1.95-2.11
Mn: 0.5000 0.5000 0.7336  6 O 1.95-2.11
Cr: 0.0000 0.0000 0.5000  6 O 2.02
O: 0.2013 0.2013 0.2583  1 Mn 1.95, 1 Cr 2.02, 1 U 2.10
O: 0.2013 0.2013 0.7417  1 Mn 1.95, 1 Cr 2.02, 1 U 2.10
O: 0.3053 0.6947 0.5000  2 Mn 1.97, 1 Cr 2.02
O: 0.3107 0.6893 0.0000  1 U 2.06, 2 Mn 2.11
O: 0.6893 0.3107 0.0000  1 U 2.06, 2 Mn 2.11
O: 0.6947 0.3053 0.5000  2 Mn 1.97, 1 Cr 2.02
O: 0.7987 0.7987 0.2583  1 Mn 1.95, 1 Cr 2.02, 1 U 2.10
O: 0.7987 0.7987 0.7417  1 Mn 1.95, 1 Cr 2.02, 1 U 2.10

Computed properties:
Crystal system: orthorhombic
Electronic total energy, eV/atom: -8.1574
Space group: No. 65